Entry 1:
PBE-GGA Sr3In3Pd2, relaxed; ρ = 5.9 g/cm3; crystal system = orthorhombic; formation energy from the elements = -0.579 eV/atom; total magnetic moment = 0.0 μB/f.u.
1.0
-0.5883 -1.5476 -4.2713
-4.5011 -2.0238 3.8097
-9.4389 13.9352 -3.7490
Sr In Pd
6 6 4
direct
0.9426 0.8852 0.3920 Sr
0.0574 0.1148 0.8920 Sr
0.9426 0.8852 0.1080 Sr
0.0574 0.1148 0.6080 Sr
0.6525 0.3051 0.2500 Sr
0.3475 0.6949 0.7500 Sr
0.6574 0.3148 0.4645 In
0.3426 0.6852 0.9645 In
0.6574 0.3148 0.0355 In
0.3426 0.6852 0.5355 In
0.3589 0.7178 0.2500 In
0.6411 0.2822 0.7500 In
0.7698 0.5395 0.8875 Pd
0.2302 0.4605 0.3875 Pd
0.7698 0.5395 0.6125 Pd
0.2302 0.4605 0.1125 Pd

Entry 2:
PBE-GGA SrInPd4, relaxed; ρ = 8.6 g/cm3; crystal system = orthorhombic; formation energy from the elements = -0.400 eV/atom; total magnetic moment = 0.0 μB/f.u.; ΔE to the lowest computed polymorph = 98.5 meV/atom
1.0
4.2317 0.0000 0.0000
0.0000 7.2930 0.0000
0.0000 0.0000 7.8762
Sr In Pd
2 2 8
direct
0.0000 0.6685 0.7500 Sr
0.0000 0.3315 0.2500 Sr
0.0000 0.2363 0.7500 In
0.0000 0.7637 0.2500 In
0.0000 0.0000 0.5000 Pd
0.0000 0.0000 0.0000 Pd
0.5000 0.9727 0.7500 Pd
0.5000 0.0273 0.2500 Pd
0.5000 0.6967 0.0444 Pd
0.5000 0.3033 0.9556 Pd
0.5000 0.6967 0.4556 Pd
0.5000 0.3033 0.5444 Pd

- Which of these has the highest ρ?
  SrInPd4